(1)
Compound: InP2Os
Source: Alexandria via LeMat-Bulk
Functional: GGA-PBE
Structure: relaxed

Output
Space-group type ... C2/m (12)
E_tot ... -22.11 eV/cell
Formation energy ... 2.68 eV/f.u.

Structure (POSCAR):
```
InP2Os
1.0
2.7367 -3.5028 0.0000
2.7367 3.5028 0.0000
-1.8482 0.0000 3.6121
In P Os
1 2 1
direct
0.0000 0.0000 0.0000
0.0000 0.5000 0.5000
0.5000 0.0000 0.5000
0.5000 0.5000 0.0000
```

(2)
Compound: InPOs2
Source: Alexandria via LeMat-Bulk
Functional: GGA-PBE
Structure: relaxed

Output
Space-group type ... Cm (8)
ΔE to the lowest computed polymorph ... 91.6 meV/atom
E_tot ... -29.64 eV/cell
Formation energy ... 0.97 eV/f.u.

Structure (POSCAR):
```
InPOs2
1.0
4.1062 -1.4710 0.0000
4.1062 1.4710 0.0000
-0.9781 0.0000 5.9074
In P Os
1 1 2
direct
0.0000 0.0000 0.0000
0.1883 0.1883 0.5597
0.4735 0.4735 0.5816
0.7576 0.7576 0.2880
```

Q: Which formula does entry 2 have?
A: InPOs2